[1]
CaRe2As: relaxed, PBEsol.

Lattice parameters (Å, degrees): 3.071 3.071 7.491 90.00 90.00 90.00
Fractional coordinates of all 4 atoms:
1 Ca 0.000 0.000 0.000
2 Re 0.500 0.500 0.318
3 Re 0.500 0.500 0.682
4 As 0.000 0.000 0.500

## Properties
Formation energy from the elements, eV/atom: 0.620
Symmetry: P4/mmm, No. 123
Total energy, eV per atom: -7.86



[2]
Zr2CoHg: relaxed, PBEsol.

Lattice parameters (Å, degrees): 3.443 3.443 7.918 102.40 102.40 59.63
Fractional coordinates of all 4 atoms:
1 Zr 0.233 0.233 0.198
2 Zr 0.767 0.767 0.802
3 Co 0.500 0.500 0.000
4 Hg 0.000 0.000 0.500

## Properties
Formation energy from the elements, eV/atom: -0.151
Symmetry: C2/m, No. 12
Total energy, eV per atom: -6.77



[3]
Bi4Te7Pb: relaxed, PBEsol.

Lattice parameters (Å, degrees): 4.407 4.407 23.915 90.00 90.00 120.00
Fractional coordinates of all 12 atoms:
1 Bi 0.333 0.667 0.084
2 Bi 0.333 0.667 0.335
3 Bi 0.667 0.333 0.665
4 Bi 0.667 0.333 0.916
5 Te 0.000 0.000 0.000
6 Te 0.000 0.000 0.264
7 Te 0.000 0.000 0.736
8 Te 0.333 0.667 0.581
9 Te 0.333 0.667 0.845
10 Te 0.667 0.333 0.155
11 Te 0.667 0.333 0.419
12 Pb 0.000 0.000 0.500

## Properties
Raw formation energy, eV per atom: -0.247
Symmetry: P-3m1, No. 164
Total energy, eV per atom: -4.07



[4]
Mg2MnP2O8: relaxed, PBEsol.

Lattice parameters (Å, degrees): 5.111 8.403 8.956 90.00 120.86 90.00
Fractional coordinates of all 26 atoms:
1 Mg 0.015 0.142 0.108
2 Mg 0.015 0.358 0.608
3 Mg 0.985 0.642 0.392
4 Mg 0.985 0.858 0.892
5 Mn 0.000 0.000 0.500
6 Mn 0.000 0.500 0.000
7 P 0.330 0.697 0.797
8 P 0.330 0.803 0.297
9 P 0.670 0.197 0.703
10 P 0.670 0.303 0.203
11 O 0.171 0.637 0.237
12 O 0.171 0.863 0.737
13 O 0.181 0.578 0.644
14 O 0.181 0.922 0.144
15 O 0.265 0.650 0.943
16 O 0.265 0.850 0.443
17 O 0.327 0.205 0.634
18 O 0.327 0.295 0.134
19 O 0.673 0.705 0.866
20 O 0.673 0.795 0.366
21 O 0.735 0.150 0.557
22 O 0.735 0.350 0.057
23 O 0.819 0.078 0.856
24 O 0.819 0.422 0.356
25 O 0.829 0.137 0.263
26 O 0.829 0.363 0.763

## Properties
Raw formation energy, eV per atom: -2.380
Symmetry: P2_1/c, No. 14
Total energy, eV per atom: -7.52



[5]
Cs3RePt: relaxed, PBEsol.

Lattice parameters (Å, degrees): 5.588 5.588 5.588 90.00 90.00 90.00
Fractional coordinates of all 5 atoms:
1 Cs 0.000 0.000 0.500
2 Cs 0.000 0.500 0.000
3 Cs 0.500 0.000 0.000
4 Re 0.000 0.000 0.000
5 Pt 0.500 0.500 0.500

## Properties
Formation energy from the elements, eV/atom: 1.719
Symmetry: Pm-3m, No. 221
Total energy, eV per atom: -2.91



[6]
K3Rh: relaxed, PBEsol.

Lattice parameters (Å, degrees): 5.585 5.585 5.585 120.08 120.08 89.87
Fractional coordinates of all 4 atoms:
1 K 0.000 0.000 0.000
2 K 0.250 0.750 0.500
3 K 0.750 0.250 0.500
4 Rh 0.500 0.500 0.000

## Properties
Formation energy from the elements, eV/atom: 0.671
Symmetry: I4/mmm, No. 139
Total energy, eV per atom: -2.21



[7]
Ag2TeO3: relaxed, PBEsol.

Lattice parameters (Å, degrees): 4.944 9.835 7.209 90.00 94.14 90.00
Fractional coordinates of all 24 atoms:
1 Ag 0.217 0.241 0.129
2 Ag 0.217 0.259 0.629
3 Ag 0.238 0.562 0.585
4 Ag 0.238 0.938 0.085
5 Ag 0.762 0.062 0.915
6 Ag 0.762 0.438 0.415
7 Ag 0.783 0.741 0.371
8 Ag 0.783 0.759 0.871
9 Te 0.259 0.602 0.111
10 Te 0.259 0.898 0.611
11 Te 0.741 0.102 0.389
12 Te 0.741 0.398 0.889
13 O 0.231 0.744 0.773
14 O 0.231 0.756 0.273
15 O 0.270 0.030 0.805
16 O 0.270 0.470 0.305
17 O 0.354 0.117 0.397
18 O 0.354 0.383 0.897
19 O 0.646 0.617 0.103
20 O 0.646 0.883 0.603
21 O 0.730 0.530 0.695
22 O 0.730 0.970 0.195
23 O 0.769 0.244 0.727
24 O 0.769 0.256 0.227

## Properties
Raw formation energy, eV per atom: -0.527
Symmetry: P2_1/c, No. 14
Total energy, eV per atom: -4.84



[8]
InCoAg: relaxed, PBEsol.

Lattice parameters (Å, degrees): 5.468 5.468 5.468 147.74 147.74 46.27
Fractional coordinates of all 3 atoms:
1 In 0.000 0.000 0.000
2 Co 0.646 0.646 0.000
3 Ag 0.306 0.306 0.000

## Properties
Energy relative to the lowest polymorph listed for this composition, meV per atom: 0.0
Formation energy from the elements, eV/atom: 0.237
Symmetry: I4mm, No. 107
Total energy, eV per atom: -4.44